1.
Below is a geometry-optimized Hf3PtRh structure, with properties calculated at the GGA-PBE level.

Values from the calculation:
The density of states at the Fermi level comes out at 1.42 states/eV per atom. Its space group is Pm-3m, No. 221. As for the formation energy from the elements: 0.23 eV/atom.

a = 4.889 Å, b = 4.889 Å, c = 4.889 Å
α = 90.00°, β = 90.00°, γ = 90.00°
Fractional positions:
1 Hf 0.000 0.000 0.500
2 Hf 0.000 0.500 0.000
3 Rh 0.000 0.000 0.000
4 Hf 0.500 0.000 0.000
5 Pt 0.500 0.500 0.500



2.
Below is a geometry-optimized MnNb3Ir4 structure, with properties calculated at the GGA-PBE level.

Values from the calculation:
The density of states at the Fermi level comes out at 0.85 states/eV per atom. Its space group is Pmma, No. 51. As for the formation energy from the elements: -0.44 eV/atom.

a = 4.845 Å, b = 5.701 Å, c = 9.028 Å
α = 90.00°, β = 90.00°, γ = 90.00°
Last column: magnetic moment on the atom in μB.
Fractional positions:
1 Nb 0.000 0.000 0.000  -0.03
2 Mn 0.000 0.500 0.500  2.77
3 Nb 0.372 0.000 0.250  -0.07
4 Ir 0.500 0.256 0.000  -0.01
5 Ir 0.500 0.744 0.000  -0.01
6 Nb 0.000 0.000 0.500  -0.03
7 Ir 0.143 0.260 0.750  -0.03
8 Mn 0.000 0.500 0.000  2.77
9 Ir 0.143 0.740 0.750  -0.03
10 Ir 0.500 0.256 0.500  -0.01
11 Nb 0.628 0.000 0.750  -0.07
12 Nb 0.660 0.500 0.750  -0.14
13 Nb 0.340 0.500 0.250  -0.14
14 Ir 0.857 0.740 0.250  -0.03
15 Ir 0.500 0.744 0.500  -0.01
16 Ir 0.857 0.260 0.250  -0.03



3.
Below is a geometry-optimized Tb3Dy7Sc2 structure, with properties calculated at the GGA-PBE level.

Values from the calculation:
The density of states at the Fermi level comes out at 1.37 states/eV per atom. Its space group is P2/m, No. 10. As for the formation energy from the elements: 0.10 eV/atom.

a = 3.507 Å, b = 5.743 Å, c = 18.875 Å
α = 104.26°, β = 90.00°, γ = 90.00°
Fractional positions:
1 Dy 0.500 0.281 0.538
2 Dy 0.500 0.009 0.817
3 Tb 0.000 0.142 0.366
4 Dy 0.000 0.458 0.147
5 Tb 0.500 0.500 0.000
6 Sc 0.500 0.418 0.705
7 Dy 0.000 0.000 0.000
8 Sc 0.500 0.582 0.295
9 Dy 0.500 0.719 0.462
10 Dy 0.000 0.542 0.853
11 Tb 0.000 0.858 0.634
12 Dy 0.500 0.991 0.183



4.
Below is a geometry-optimized Pm2PtAu3 structure, with properties calculated at the GGA-PBE level.

Values from the calculation:
The density of states at the Fermi level comes out at 0.52 states/eV per atom. Its space group is Pmm2, No. 25. As for the formation energy from the elements: -0.81 eV/atom.

a = 3.623 Å, b = 4.881 Å, c = 7.858 Å
α = 90.00°, β = 90.00°, γ = 90.00°
Fractional positions:
1 Au 0.500 0.500 0.671
2 Pt 0.500 0.500 0.325
3 Au 0.500 0.000 0.823
4 Au 0.500 0.000 0.170
5 Pm 0.000 0.500 0.022
6 Pm 0.000 0.000 0.488



5.
Below is a geometry-optimized Th2ScHg3 structure, with properties calculated at the GGA-PBE level.

Values from the calculation:
The density of states at the Fermi level comes out at 0.95 states/eV per atom. Its space group is P4/mmm, No. 123. As for the formation energy from the elements: -0.29 eV/atom.

a = 3.492 Å, b = 3.492 Å, c = 12.578 Å
α = 90.00°, β = 90.00°, γ = 90.00°
Fractional positions:
1 Hg 0.000 0.000 0.362
2 Hg 0.000 0.000 0.000
3 Sc 0.500 0.500 0.500
4 Th 0.500 0.500 0.820
5 Th 0.500 0.500 0.180
6 Hg 0.000 0.000 0.638



6.
Below is a geometry-optimized ScPRuCl2 structure, with properties calculated at the GGA-PBE level.

Values from the calculation:
For the formation energy without anion corrections, the calculation gives 91 meV per atom. The density of states at the Fermi level comes out at 1.79 states/eV per atom. Its space group is P4/mmm, No. 123.

a = 4.742 Å, b = 4.742 Å, c = 5.399 Å
α = 90.00°, β = 90.00°, γ = 90.00°
Last column: magnetic moment on the atom in μB.
Fractional positions:
1 Cl 0.500 0.000 0.000  0.04
2 Ru 0.500 0.500 0.500  2.79
3 Sc 0.000 0.000 0.000  0.02
4 P 0.000 0.000 0.500  0.08
5 Cl 0.000 0.500 0.000  0.04



7.
Below is a geometry-optimized Ta4CoRe structure, with properties calculated at the GGA-PBE level.

Values from the calculation:
The density of states at the Fermi level comes out at 1.54 states/eV per atom. Its space group is F-43m, No. 216. As for the formation energy from the elements: 0.62 eV/atom.

a = 5.302 Å, b = 5.302 Å, c = 5.302 Å
α = 60.00°, β = 60.00°, γ = 60.00°
Last column: magnetic moment on the atom in μB.
Fractional positions:
1 Re 0.000 0.000 0.000  0.27
2 Co 0.250 0.250 0.250  1.38
3 Ta 0.626 0.626 0.626  -0.01
4 Ta 0.122 0.626 0.626  -0.01
5 Ta 0.626 0.122 0.626  -0.01
6 Ta 0.626 0.626 0.122  -0.01



8.
Below is a geometry-optimized Rb2SnTe3 structure, with properties calculated at the GGA-PBE level.

Values from the calculation:
For the formation energy without anion corrections, the calculation gives -664 meV per atom. Its space group is C2/c, No. 15.

a = 7.984 Å, b = 9.057 Å, c = 18.005 Å
α = 89.34°, β = 88.50°, γ = 63.85°
Fractional positions:
1 Rb 0.842 0.808 0.435
2 Rb 0.650 0.192 0.935
3 Rb 0.022 0.416 0.156
4 Rb 0.350 0.808 0.065
5 Rb 0.438 0.584 0.656
6 Sn 0.731 0.000 0.659
7 Sn 0.269 0.000 0.341
8 Te 0.517 0.328 0.132
9 Sn 0.269 0.000 0.841
10 Te 0.591 0.817 0.250
11 Rb 0.158 0.192 0.565
12 Te 0.048 0.905 0.750
13 Te 0.483 0.672 0.868
14 Te 0.845 0.672 0.632
15 Te 0.668 0.210 0.542
16 Rb 0.978 0.584 0.844
17 Te 0.122 0.210 0.958
18 Te 0.409 0.183 0.750
19 Sn 0.731 0.000 0.159
20 Te 0.878 0.790 0.042
21 Te 0.332 0.790 0.458
22 Te 0.952 0.095 0.250
23 Te 0.155 0.328 0.368
24 Rb 0.562 0.416 0.344



9.
Below is a geometry-optimized Ce3Pm3NdTe8 structure, with properties calculated at the GGA-PBE level.

Values from the calculation:
For the formation energy without anion corrections, the calculation gives -1431 meV per atom. The density of states at the Fermi level comes out at 1.62 states/eV per atom. Its space group is R-3m, No. 166.

a = 8.932 Å, b = 8.932 Å, c = 8.936 Å
α = 119.98°, β = 90.00°, γ = 120.00°
Last column: magnetic moment on the atom in μB.
Fractional positions:
1 Te 0.249 0.499 0.248  -0.01
2 Ce 0.500 0.000 0.500  0.99
3 Nd 0.000 0.000 0.500  0.07
4 Te 0.744 0.999 0.243  -0.01
5 Te 0.746 0.001 0.757  -0.01
6 Ce 0.000 0.500 0.500  0.99
7 Te 0.744 0.489 0.243  -0.01
8 Ce 0.500 0.500 0.500  0.99
9 Te 0.254 0.999 0.243  -0.01
10 Te 0.256 0.511 0.757  -0.01
11 Pm 0.500 0.500 0.000  0.02
12 Pm 0.000 0.000 0.000  0.02
13 Pm 0.000 0.500 0.000  0.02
14 Te 0.256 0.001 0.757  -0.01
15 Te 0.751 0.501 0.752  -0.01



10.
Below is a geometry-optimized AcTlRu2O8 structure, with properties calculated at the GGA-PBE level.

Values from the calculation:
For the formation energy without anion corrections, the calculation gives -1323 meV per atom. The density of states at the Fermi level comes out at 0.03 states/eV per atom. Its space group is P-3m1, No. 164.

a = 6.181 Å, b = 6.181 Å, c = 8.034 Å
α = 90.00°, β = 90.00°, γ = 120.00°
Last column: magnetic moment on the atom in μB.
Fractional positions:
1 O 0.825 0.176 0.300  0.15
2 O 0.649 0.825 0.700  0.15
3 O 0.667 0.333 0.003  0.21
4 Tl 0.000 0.000 0.000  0.02
5 O 0.351 0.175 0.300  0.15
6 O 0.824 0.649 0.300  0.15
7 Ac 0.000 0.000 0.500  0.04
8 O 0.176 0.351 0.700  0.15
9 O 0.333 0.667 0.997  0.21
10 Ru 0.667 0.333 0.220  1.05
11 Ru 0.333 0.667 0.780  1.05
12 O 0.175 0.824 0.700  0.15



11.
Below is a geometry-optimized NiHgBi2 structure, with properties calculated at the GGA-PBE level.

Values from the calculation:
The density of states at the Fermi level comes out at 0.46 states/eV per atom. Its space group is R-3m, No. 166. As for the formation energy from the elements: 0.02 eV/atom.

a = 4.095 Å, b = 4.095 Å, c = 7.886 Å
α = 74.95°, β = 74.95°, γ = 60.00°
Fractional positions:
1 Bi 0.722 0.722 0.835
2 Ni 0.000 0.000 0.000
3 Hg 0.500 0.500 0.500
4 Bi 0.278 0.278 0.165



12.
Below is a geometry-optimized Ba6GeTe2I3 structure, with properties calculated at the GGA-PBE level.

Values from the calculation:
For the formation energy without anion corrections, the calculation gives -1446 meV per atom. The density of states at the Fermi level comes out at 0.34 states/eV per atom. Its space group is C2/m, No. 12.

a = 8.668 Å, b = 8.668 Å, c = 8.761 Å
α = 99.49°, β = 99.49°, γ = 119.95°
Fractional positions:
1 Ba 0.073 0.387 0.218
2 I 0.500 0.500 0.500
3 I 0.828 0.172 0.500
4 I 0.172 0.828 0.500
5 Ba 0.240 0.240 0.780
6 Ba 0.387 0.073 0.218
7 Ba 0.927 0.613 0.782
8 Te 0.666 0.334 0.000
9 Ba 0.760 0.760 0.220
10 Ba 0.613 0.927 0.782
11 Te 0.334 0.666 0.000
12 Ge 0.000 0.000 0.000



So what do the calculations give for total moment? Going down the list: 0.00 5.12 0.00 0.00 0.00 3.43 1.51 0.00 3.74 4.01 0.00 0.00 μB/cell.